Computed, not measured: an optimized crystal structure of NbCrBr at the GGA-PBE level of DFT.

```
6
Lattice="-4.057 -5.002 -0.373 2.582 -2.104 0.126 0.092 0.427 5.267" Properties=species:S:1:pos:R:3 pbc="T T T"
Cr -3.670 -4.448 0.951
Cr -2.333 -5.286 3.648
Nb -2.512 -2.879 3.424
Nb -1.267 -4.144 0.853
Br -1.235 -1.424 1.537
Br 0.102 -2.262 4.234
```

Values from the calculation:
Uncorrected formation energy in meV/atom: 304
Final energy in eV for the cell shown: -40.91
SG: Cm (8)
Energy above the most stable polymorph in this dataset in eV per atom: 0.3216
Spin magnetization in μB/cell: 0.00